First-principles (PBE) data for a relaxed LiLa2Si crystal, as listed in Alexandria via LeMat-Bulk.

Properties
crystal system: tetragonal
energy relative to the elements, uncorrected: -1.29 eV per formula unit

a b c (Å): 5.0031 5.0031 4.1290
angles (deg): 90.00 90.00 90.00
With the nearest neighbours (Å) after each atom.
Fractional coordinates of all 4 atoms:
Li (0.0000, 0.0000, 0.0000)  8 La 3.24, 4 Si 3.54
La (0.0000, 0.5000, 0.5000)  4 Li 3.24, 4 Si 3.24, 4 La 3.54
La (0.5000, 0.0000, 0.5000)  4 Li 3.24, 4 Si 3.24, 4 La 3.54
Si (0.5000, 0.5000, 0.0000)  8 La 3.24, 4 Li 3.54

=====

First-principles (PBE) data for a relaxed LiLa2Si crystal, as listed in Alexandria via LeMat-Bulk.

Properties
crystal system: monoclinic
energy relative to the elements, uncorrected: -0.67 eV per formula unit

a b c (Å): 4.2490 4.2490 9.1430
angles (deg): 103.12 103.12 59.73
With the nearest neighbours (Å) after each atom.
Fractional coordinates of all 4 atoms:
Li (0.0000, 0.0000, 0.0000)  6 La 3.65-3.67
La (0.2293, 0.2293, 0.6908)  3 Si 2.97
La (0.7707, 0.7707, 0.3092)  3 Si 2.97
Si (0.5000, 0.5000, 0.5000)  6 La 2.97

=====

First-principles (PBE) data for a relaxed Li4La3Si4 crystal, as listed in Alexandria via LeMat-Bulk.

Properties
crystal system: orthorhombic
energy relative to the elements, uncorrected: -6.01 eV per formula unit

a b c (Å): 8.5118 8.5118 8.5118
angles (deg): 149.35 132.39 57.69
With the nearest neighbours (Å) after each atom.
Fractional coordinates of all 11 atoms:
Li (0.0199, 0.8299, 0.1900)  1 Li 2.61, 4 Si 2.68-2.75
Li (0.3601, 0.1701, 0.1900)  1 Li 2.61, 4 Si 2.68-2.75
Li (0.6399, 0.8299, 0.8100)  1 Li 2.61, 4 Si 2.68-2.75
Li (0.9801, 0.1701, 0.8100)  1 Li 2.61, 4 Si 2.68-2.75
La (0.0000, 0.5000, 0.5000)  6 Si 3.17
La (0.3674, 0.3674, 0.0000)  6 Li 3.15-3.22, 6 Si 3.22-3.23
La (0.6326, 0.6326, 0.0000)  6 Li 3.15-3.22, 6 Si 3.22-3.23
Si (0.2129, 0.7129, 0.5000)  6 Li 2.68-2.75
Si (0.3259, 0.0000, 0.3259)  1 Si 2.39
Si (0.6741, 0.0000, 0.6741)  1 Si 2.39
Si (0.7871, 0.2871, 0.5000)  6 Li 2.68-2.75

=====

First-principles (PBE) data for a relaxed LiLa3Si3 crystal, as listed in Alexandria via LeMat-Bulk.

Properties
crystal system: monoclinic
energy relative to the elements, uncorrected: -4.53 eV per formula unit

a b c (Å): 6.0245 6.0245 14.4833
angles (deg): 109.22 109.22 43.99
With the nearest neighbours (Å) after each atom.
Fractional coordinates of all 14 atoms:
Li (0.2498, 0.2498, 0.0967)  3 Si 2.67-2.78
Li (0.7502, 0.7502, 0.9033)  3 Si 2.67-2.78
La (0.0438, 0.0438, 0.8827)  4 Li 3.14-3.40, 6 Si 3.19-3.23
La (0.1065, 0.1065, 0.4240)  7 Si 3.15-3.25
La (0.2479, 0.2479, 0.7207)  6 Si 3.13-3.30, 2 Li 3.47
La (0.7521, 0.7521, 0.2793)  6 Si 3.13-3.30, 2 Li 3.47
La (0.8935, 0.8935, 0.5760)  7 Si 3.15-3.25
La (0.9562, 0.9562, 0.1173)  4 Li 3.14-3.40, 6 Si 3.19-3.23
Si (0.3854, 0.3854, 0.9505)  1 Si 2.45, 2 Li 2.67
Si (0.3984, 0.3984, 0.4255)  2 Si 2.47-2.52
Si (0.4546, 0.4546, 0.2754)  1 Si 2.47
Si (0.5454, 0.5454, 0.7246)  1 Si 2.47
Si (0.6016, 0.6016, 0.5745)  2 Si 2.47-2.52
Si (0.6146, 0.6146, 0.0495)  1 Si 2.45, 2 Li 2.67

=====

First-principles (PBE) data for a relaxed LiLa2Si crystal, as listed in Alexandria via LeMat-Bulk.

Properties
crystal system: tetragonal
energy relative to the elements, uncorrected: -1.17 eV per formula unit

a b c (Å): 3.9069 3.9069 7.2469
angles (deg): 90.00 90.00 90.00
With the nearest neighbours (Å) after each atom.
Fractional coordinates of all 4 atoms:
Li (0.0000, 0.0000, 0.0000)  8 La 3.47, 2 Si 3.62
La (0.5000, 0.5000, 0.2909)  1 La 3.03, 4 Si 3.15
La (0.5000, 0.5000, 0.7091)  1 La 3.03, 4 Si 3.15
Si (0.0000, 0.0000, 0.5000)  8 La 3.15

=====

First-principles (PBE) data for a relaxed LiLa2Si crystal, as listed in Alexandria via LeMat-Bulk.

Properties
crystal system: orthorhombic
energy relative to the elements, uncorrected: -1.31 eV per formula unit

a b c (Å): 4.4007 6.0588 6.0588
angles (deg): 42.40 90.00 90.00
With the nearest neighbours (Å) after each atom.
Fractional coordinates of all 4 atoms:
Li (0.0000, 0.0000, 0.0000)  2 Si 2.61
La (0.0000, 0.6949, 0.6949)  3 Li 3.11-3.45, 4 Si 3.21
La (0.5000, 0.4120, 0.4120)  3 Si 3.25, 4 Li 3.26
Si (0.5000, 0.1246, 0.1246)  2 Li 2.61

=====

First-principles (PBE) data for a relaxed LiLaSi crystal, as listed in Alexandria via LeMat-Bulk.

Properties
crystal system: cubic
energy relative to the elements, uncorrected: -1.02 eV per formula unit

a b c (Å): 4.6014 4.6014 4.6014
angles (deg): 60.00 60.00 60.00
With the nearest neighbours (Å) after each atom.
Fractional coordinates of all 3 atoms:
Li (0.0000, 0.0000, 0.0000)  4 La 2.82, 4 Si 2.82
La (0.7500, 0.7500, 0.7500)  4 Li 2.82
Si (0.2500, 0.2500, 0.2500)  4 Li 2.82

=====

First-principles (PBE) data for a relaxed LiLaSi crystal, as listed in Alexandria via LeMat-Bulk.

Properties
crystal system: tetragonal
energy relative to the elements, uncorrected: -0.48 eV per formula unit

a b c (Å): 6.2880 6.2880 6.2880
angles (deg): 148.66 148.66 44.91
With the nearest neighbours (Å) after each atom.
Fractional coordinates of all 3 atoms:
Li (0.0000, 0.0000, 0.0000)  4 Si 2.70
La (0.7221, 0.7221, 0.0000)  4 Si 3.13, 1 Li 3.23, 4 La 3.40
Si (0.3947, 0.3947, 0.0000)  4 Li 2.70